# NbCoF2 | the Alexandria database | PBE+U | optimized geometry
# * magnetic moment: 1.985 μB per formula unit
# * E: -20.90 eV per formula unit
# * calculated density: 5.30 g cm⁻³
# * Fermi-level density of states: 1.241 states/eV/f.u.
# * space-group type: I-42d
data_NbCoF2
_cell_length_a 5.081
_cell_length_b 5.081
_cell_length_c 5.840
_cell_angle_alpha 64.21
_cell_angle_beta 64.21
_cell_angle_gamma 90.00
_space_group_name_H-M_alt 'P 1'
_space_group_IT_number 1
loop_
_space_group_symop_operation_xyz
'x,y,z'
loop_
_atom_site_label
_atom_site_type_symbol
_atom_site_fract_x
_atom_site_fract_y
_atom_site_fract_z
_atom_site_occupancy
Nb1 Nb 0.750 0.250 0.500 1
Co1 Co 0.500 0.500 0.000 1
Co2 Co 0.250 0.750 0.500 1
Nb2 Nb 0.000 0.000 0.000 1
F1 F 0.583 0.125 0.250 1
F2 F 0.875 0.833 0.750 1
F3 F 0.375 0.417 0.750 1
F4 F 0.167 0.625 0.250 1